Compound: H2I2Cl
Source: Alexandria via LeMat-Bulk
Functional: PBE
Structure: optimized geometry

Summary:
DFT total energy   -2.212 eV/atom
M_tot   0.00 μB/cell
Symmetry   P-1, No. 2

abc: 6.0093 7.2603 7.3464
angles: 117.38 92.96 101.44
Fractional positions:
H1 0.0616 0.4991 0.2465
H2 0.2838 0.4097 0.7101
H3 0.7162 0.5903 0.2899
H4 0.9384 0.5009 0.7535
I1 0.2127 0.6471 0.8286
I2 0.2566 0.0234 0.5054
I3 0.7434 0.9766 0.4946
I4 0.7873 0.3529 0.1714
Cl1 0.2946 0.1989 0.0881
Cl2 0.7054 0.8011 0.9119

---

Compound: HICl2
Source: Alexandria via LeMat-Bulk
Functional: PBE
Structure: optimized geometry

Summary:
DFT total energy   -1.714 eV/atom
M_tot   0.33 μB/cell
Symmetry   R-3m, No. 166

abc: 3.7951 3.7951 22.5983
angles: 90.00 90.00 120.00
Fractional positions:
H1 0.0000 0.0000 0.0000
H2 0.3333 0.6667 0.6667
H3 0.6667 0.3333 0.3333
I1 0.0000 0.0000 0.5000
I2 0.3333 0.6667 0.1667
I3 0.6667 0.3333 0.8333
Cl1 0.0000 0.0000 0.3871
Cl2 0.0000 0.0000 0.6129
Cl3 0.3333 0.6667 0.0538
Cl4 0.3333 0.6667 0.2795
Cl5 0.6667 0.3333 0.7205
Cl6 0.6667 0.3333 0.9462

---

Compound: HI2Cl
Source: Alexandria via LeMat-Bulk
Functional: PBE
Structure: optimized geometry

Summary:
DFT total energy   -1.083 eV/atom
M_tot   8.00 μB/cell
Symmetry   Fm-3m, No. 225

abc: 7.6305 7.6305 7.6305
angles: 90.00 90.00 90.00
Fractional positions:
H1 0.0000 0.0000 0.0000
H2 0.0000 0.5000 0.5000
H3 0.5000 0.0000 0.5000
H4 0.5000 0.5000 0.0000
I1 0.2500 0.2500 0.2500
I2 0.2500 0.2500 0.7500
I3 0.2500 0.7500 0.2500
I4 0.2500 0.7500 0.7500
I5 0.7500 0.2500 0.2500
I6 0.7500 0.2500 0.7500
I7 0.7500 0.7500 0.2500
I8 0.7500 0.7500 0.7500
Cl1 0.0000 0.0000 0.5000
Cl2 0.0000 0.5000 0.0000
Cl3 0.5000 0.0000 0.0000
Cl4 0.5000 0.5000 0.5000

---

Compound: H2ICl
Source: Alexandria via LeMat-Bulk
Functional: PBE
Structure: optimized geometry

Summary:
DFT total energy   -2.193 eV/atom
M_tot   0.00 μB/cell
Symmetry   R-3m, No. 166

abc: 3.8999 3.8999 17.3212
angles: 90.00 90.00 120.00
Fractional positions:
H1 0.0000 0.0000 0.0876
H2 0.0000 0.0000 0.9124
H3 0.3333 0.6667 0.5791
H4 0.3333 0.6667 0.7543
H5 0.6667 0.3333 0.2457
H6 0.6667 0.3333 0.4209
I1 0.0000 0.0000 0.5000
I2 0.3333 0.6667 0.1667
I3 0.6667 0.3333 0.8333
Cl1 0.0000 0.0000 0.0000
Cl2 0.3333 0.6667 0.6667
Cl3 0.6667 0.3333 0.3333

---

Compound: HICl2
Source: Alexandria via LeMat-Bulk
Functional: PBE
Structure: optimized geometry

Summary:
DFT total energy   -1.242 eV/atom
M_tot   12.42 μB/cell
Symmetry   Fm-3m, No. 225

abc: 7.2752 7.2752 7.2752
angles: 90.00 90.00 90.00
Fractional positions:
H1 0.0000 0.0000 0.0000
H2 0.0000 0.5000 0.5000
H3 0.5000 0.0000 0.5000
H4 0.5000 0.5000 0.0000
I1 0.0000 0.0000 0.5000
I2 0.0000 0.5000 0.0000
I3 0.5000 0.0000 0.0000
I4 0.5000 0.5000 0.5000
Cl1 0.2500 0.2500 0.2500
Cl2 0.2500 0.2500 0.7500
Cl3 0.2500 0.7500 0.2500
Cl4 0.2500 0.7500 0.7500
Cl5 0.7500 0.2500 0.2500
Cl6 0.7500 0.2500 0.7500
Cl7 0.7500 0.7500 0.2500
Cl8 0.7500 0.7500 0.7500

---

Compound: HICl
Source: Alexandria via LeMat-Bulk
Functional: PBE
Structure: optimized geometry

Summary:
DFT total energy   -2.433 eV/atom
M_tot   0.00 μB/cell
Symmetry   I4mm, No. 107

abc: 3.3857 3.3857 15.9686
angles: 90.00 90.00 90.00
Fractional positions:
H1 0.0000 0.0000 0.0000
H2 0.5000 0.5000 0.5000
I1 0.0000 0.0000 0.1823
I2 0.5000 0.5000 0.6823
Cl1 0.0000 0.0000 0.9193
Cl2 0.5000 0.5000 0.4193

---

Compound: HICl2
Source: Alexandria via LeMat-Bulk
Functional: PBE
Structure: optimized geometry

Summary:
DFT total energy   -1.709 eV/atom
M_tot   7.98 μB/cell
Symmetry   I-42d, No. 122

abc: 6.1223 6.1223 9.4907
angles: 90.00 90.00 90.00
Fractional positions:
H1 0.0000 0.0000 0.0000
H2 0.0000 0.5000 0.2500
H3 0.5000 0.0000 0.7500
H4 0.5000 0.5000 0.5000
I1 0.0000 0.0000 0.5000
I2 0.0000 0.5000 0.7500
I3 0.5000 0.0000 0.2500
I4 0.5000 0.5000 0.0000
Cl1 0.0822 0.2500 0.1250
Cl2 0.2500 0.5822 0.3750
Cl3 0.2500 0.9178 0.8750
Cl4 0.4178 0.2500 0.6250
Cl5 0.5822 0.7500 0.6250
Cl6 0.7500 0.0822 0.8750
Cl7 0.7500 0.4178 0.3750
Cl8 0.9178 0.7500 0.1250

---

Compound: K6H2I3Cl
Source: Alexandria via LeMat-Bulk
Functional: PBE
Structure: optimized geometry

Summary:
DFT total energy   -2.739 eV/atom
M_tot   0.08 μB/cell
Symmetry   C2/m, No. 12

abc: 8.0428 8.0428 8.1924
angles: 99.44 99.44 119.98
Fractional positions:
K1 0.0852 0.4297 0.7883
K2 0.2253 0.2253 0.2087
K3 0.4297 0.0852 0.7883
K4 0.5703 0.9148 0.2117
K5 0.7747 0.7747 0.7913
K6 0.9148 0.5703 0.2117
H1 0.1668 0.8332 0.0000
H2 0.8332 0.1668 0.0000
I1 0.0000 0.0000 0.5000
I2 0.3366 0.6634 0.5000
I3 0.6634 0.3366 0.5000
Cl1 0.5000 0.5000 0.0000

---

Compound: K6H2ICl3
Source: Alexandria via LeMat-Bulk
Functional: PBE
Structure: optimized geometry

Summary:
DFT total energy   -2.950 eV/atom
M_tot   0.06 μB/cell
Symmetry   C2/m, No. 12

abc: 10.0664 10.0664 9.0884
angles: 103.02 103.02 25.87
Fractional positions:
K1 0.0064 0.0064 0.2774
K2 0.3243 0.3243 0.9003
K3 0.3264 0.3264 0.4265
K4 0.6736 0.6736 0.5735
K5 0.6757 0.6757 0.0997
K6 0.9936 0.9936 0.7226
H1 0.1734 0.1734 0.3469
H2 0.8266 0.8266 0.6531
I1 0.5000 0.5000 0.0000
Cl1 0.1648 0.1648 0.8271
Cl2 0.5000 0.5000 0.5000
Cl3 0.8352 0.8352 0.1729

---

Compound: NaH2ICl
Source: Alexandria via LeMat-Bulk
Functional: PBE
Structure: optimized geometry

Summary:
DFT total energy   -1.759 eV/atom
M_tot   1.24 μB/cell
Symmetry   P4/mmm, No. 123

abc: 4.2470 4.2470 7.0380
angles: 90.00 90.00 90.00
Fractional positions:
Na1 0.0000 0.0000 0.0000
H1 0.0000 0.5000 0.0000
H2 0.5000 0.0000 0.0000
I1 0.0000 0.0000 0.5000
Cl1 0.5000 0.5000 0.5000

---

Compound: NaH2ICl8
Source: Alexandria via LeMat-Bulk
Functional: PBE
Structure: optimized geometry

Summary:
DFT total energy   -2.565 eV/atom
M_tot   0.00 μB/cell
Symmetry   P-1, No. 2

abc: 6.8041 6.9485 8.0624
angles: 91.63 95.86 92.83
Fractional positions:
Na1 0.0000 0.0000 0.0000
H1 0.2620 0.3219 0.2317
H2 0.7380 0.6781 0.7683
I1 0.0000 0.0000 0.5000
Cl1 0.1874 0.8316 0.2920
Cl2 0.2175 0.8676 0.7350
Cl3 0.2332 0.2905 0.5013
Cl4 0.2720 0.3301 0.0703
Cl5 0.7280 0.6699 0.9297
Cl6 0.7668 0.7095 0.4987
Cl7 0.7825 0.1324 0.2650
Cl8 0.8126 0.1684 0.7080

---

Compound: Np2HI2Cl4
Source: Alexandria via LeMat-Bulk
Functional: PBE
Structure: optimized geometry

Summary:
DFT total energy   -5.493 eV/atom
M_tot   7.00 μB/cell
Symmetry   C2/m, No. 12

abc: 9.0374 9.0374 8.2773
angles: 117.21 117.21 34.87
Fractional positions:
Np1 0.0000 0.0000 0.2274
Np2 0.0000 0.0000 0.7726
H1 0.0000 0.0000 0.0000
I1 0.1412 0.1412 0.6410
I2 0.8588 0.8588 0.3590
Cl1 0.1416 0.1416 0.1414
Cl2 0.5001 0.5001 0.2305
Cl3 0.4999 0.4999 0.7695
Cl4 0.8584 0.8584 0.8586

---

Compound: PaHICl
Source: Alexandria via LeMat-Bulk
Functional: PBE
Structure: optimized geometry

Summary:
DFT total energy   -5.082 eV/atom
M_tot   4.00 μB/cell
Symmetry   Cm, No. 8

abc: 6.7573 3.9014 8.2187
angles: 90.00 106.00 90.00
Fractional positions:
Pa1 0.0000 0.0000 0.0000
Pa2 0.5000 0.5000 0.0000
H1 0.1647 0.5000 0.9943
H2 0.6647 0.0000 0.9943
I1 0.2372 0.0000 0.7131
I2 0.7372 0.5000 0.7131
Cl1 0.4114 0.0000 0.2331
Cl2 0.9114 0.5000 0.2331